[1]
Computed, not measured: a relaxed CaRe3Sn crystal at the PBE level of DFT.

Structure (CIF):
```
data_CaRe3Sn
_space_group_name_H-M_alt 'P m -3 m'
_space_group_IT_number 221
_space_group_name_Hall '-P 4 2 3'
_cell_length_a 4.9386
_cell_length_b 4.9386
_cell_length_c 4.9386
_cell_angle_alpha 90.00
_cell_angle_beta 90.00
_cell_angle_gamma 90.00
loop_
_atom_site_label
_atom_site_type_symbol
_atom_site_fract_x
_atom_site_fract_y
_atom_site_fract_z
_atom_site_occupancy
Ca1 Ca 0.0000 0.0000 0.0000 1
Re1 Re 0.0000 0.5000 0.5000 1
Sn1 Sn 0.5000 0.5000 0.5000 1
```

Formation energy from the elements (eV/atom): 2.216
DFT total energy (eV per atom): -6.45
Excess energy over the best structure of this formula in the dataset (meV per atom): 0
Crystal system: cubic


[2]
Computed, not measured: a relaxed Rb2BaLi crystal at the PBE level of DFT.

Structure (CIF):
```
data_Rb2BaLi
_space_group_name_H-M_alt 'P 4/m m m'
_space_group_IT_number 123
_space_group_name_Hall '-P 4 2'
_cell_length_a 4.5298
_cell_length_b 4.5298
_cell_length_c 12.4894
_cell_angle_alpha 90.00
_cell_angle_beta 90.00
_cell_angle_gamma 90.00
loop_
_atom_site_label
_atom_site_type_symbol
_atom_site_fract_x
_atom_site_fract_y
_atom_site_fract_z
_atom_site_occupancy
Rb1 Rb 0.0000 0.0000 0.2014 1
Ba1 Ba 0.5000 0.5000 0.5000 1
Li1 Li 0.5000 0.5000 0.0000 1
```

Formation energy from the elements (eV/atom): 0.195
DFT total energy (eV per atom): -1.25
Excess energy over the best structure of this formula in the dataset (meV per atom): 0
Crystal system: tetragonal


[3]
Computed, not measured: a relaxed La3TbTh2Sb6 crystal at the PBE level of DFT.

Structure (CIF):
```
data_La3TbTh2Sb6
_space_group_name_H-M_alt 'C 1 2/m 1'
_space_group_IT_number 12
_cell_length_a 7.8601
_cell_length_b 13.6292
_cell_length_c 7.8942
_cell_angle_alpha 90.00
_cell_angle_beta 109.40
_cell_angle_gamma 90.00
loop_
_space_group_symop_operation_xyz
'x,y,z'
'-x,-y,-z'
'-x,y,-z'
'x,-y,z'
'x+1/2,y+1/2,z'
'-x+1/2,-y+1/2,-z'
'-x+1/2,y+1/2,-z'
'x+1/2,-y+1/2,z'
loop_
_atom_site_label
_atom_site_type_symbol
_atom_site_fract_x
_atom_site_fract_y
_atom_site_fract_z
_atom_site_occupancy
La1 La 0.0000 0.0000 0.0000 1
La2 La 0.0000 0.3323 0.0000 1
Tb1 Tb 0.0000 0.5000 0.5000 1
Th1 Th 0.0000 0.1662 0.5000 1
Sb1 Sb 0.2452 0.3349 0.7407 1
Sb2 Sb 0.2492 0.5000 0.2576 1
```

DFT total energy (eV per atom): -6.07
Crystal system: monoclinic


[4]
Computed, not measured: a relaxed SmTm4Bi5 crystal at the PBE level of DFT.

Structure (CIF):
```
data_SmTm4Bi5
_space_group_name_H-M_alt 'I m m m'
_space_group_IT_number 71
_space_group_name_Hall '-I 2 2'
_cell_length_a 4.4584
_cell_length_b 6.3077
_cell_length_c 22.2839
_cell_angle_alpha 90.00
_cell_angle_beta 90.00
_cell_angle_gamma 90.00
loop_
_atom_site_label
_atom_site_type_symbol
_atom_site_fract_x
_atom_site_fract_y
_atom_site_fract_z
_atom_site_occupancy
Sm1 Sm 0.0000 0.0000 0.0000 1
Tm1 Tm 0.0000 0.0000 0.2017 1
Tm2 Tm 0.0000 0.0000 0.4001 1
Bi1 Bi 0.0000 0.5000 0.0000 1
Bi2 Bi 0.0000 0.5000 0.1993 1
Bi3 Bi 0.0000 0.5000 0.3967 1
```

Formation energy from the elements (eV/atom): -0.808
DFT total energy (eV per atom): -5.01
Crystal system: orthorhombic


The highest DFT total energy belongs to which entry? Rb2BaLi


The lowest DFT total energy belongs to which entry? CaRe3Sn


Repeat the fourth record exactly.
Computed, not measured: a relaxed SmTm4Bi5 crystal at the PBE level of DFT.

Structure (CIF):
```
data_SmTm4Bi5
_space_group_name_H-M_alt 'I m m m'
_space_group_IT_number 71
_space_group_name_Hall '-I 2 2'
_cell_length_a 4.4584
_cell_length_b 6.3077
_cell_length_c 22.2839
_cell_angle_alpha 90.00
_cell_angle_beta 90.00
_cell_angle_gamma 90.00
loop_
_atom_site_label
_atom_site_type_symbol
_atom_site_fract_x
_atom_site_fract_y
_atom_site_fract_z
_atom_site_occupancy
Sm1 Sm 0.0000 0.0000 0.0000 1
Tm1 Tm 0.0000 0.0000 0.2017 1
Tm2 Tm 0.0000 0.0000 0.4001 1
Bi1 Bi 0.0000 0.5000 0.0000 1
Bi2 Bi 0.0000 0.5000 0.1993 1
Bi3 Bi 0.0000 0.5000 0.3967 1
```

Formation energy from the elements (eV/atom): -0.808
DFT total energy (eV per atom): -5.01
Crystal system: orthorhombic